A geometry-optimized Li3Dy2HoPb3 structure. Source: the Open Quantum Materials Database, functional PBE-GGA.

CIF file:
```
data_Li3Dy2HoPb3
_symmetry_space_group_name_H-M 'P -6 m 2'
_symmetry_Int_Tables_number 187
_symmetry_space_group_name_Hall 'P -6 2'
_cell_length_a 4.7827
_cell_length_b 4.7827
_cell_length_c 10.8255
_cell_angle_alpha 90.00
_cell_angle_beta 90.00
_cell_angle_gamma 120.00
loop_
_atom_site_label
_atom_site_type_symbol
_atom_site_fract_x
_atom_site_fract_y
_atom_site_fract_z
Li1 Li 0.0000 0.0000 0.0000
Li2 Li 0.3333 0.6667 0.3108
Dy1 Dy 0.6667 0.3333 0.1647
Ho1 Ho 0.6667 0.3333 0.5000
Pb1 Pb 0.0000 0.0000 0.3276
Pb2 Pb 0.3333 0.6667 0.0000
```

Output
magnetization: 0.00 μB per formula unit
DFT total energy: -3.86 eV per atom


A geometry-optimized Re2PdAu structure. Source: the Open Quantum Materials Database, functional PBE-GGA.

CIF file:
```
data_Re2PdAu
_symmetry_space_group_name_H-M 'F -4 3 m'
_symmetry_Int_Tables_number 216
_symmetry_space_group_name_Hall 'F -4 2 3'
_cell_length_a 6.312
_cell_length_b 6.312
_cell_length_c 6.312
_cell_angle_alpha 90.00
_cell_angle_beta 90.00
_cell_angle_gamma 90.00
loop_
_atom_site_label
_atom_site_type_symbol
_atom_site_fract_x
_atom_site_fract_y
_atom_site_fract_z
Re1 Re 0.000 0.000 0.000
Re2 Re 0.250 0.250 0.250
Pd1 Pd 0.000 0.000 0.500
Au1 Au 0.250 0.250 0.750
```

Output
E_form: 528.5 meV/atom
magnetization: 0.00 μB per formula unit


A geometry-optimized ErCuTe3Pb structure. Source: the Open Quantum Materials Database, functional PBE-GGA.

CIF file:
```
data_ErCuTe3Pb
_symmetry_space_group_name_H-M 'P n m a'
_symmetry_Int_Tables_number 62
_symmetry_space_group_name_Hall '-P 2ac 2n'
_cell_length_a 14.637
_cell_length_b 4.282
_cell_length_c 11.584
_cell_angle_alpha 90.00
_cell_angle_beta 90.00
_cell_angle_gamma 90.00
loop_
_atom_site_label
_atom_site_type_symbol
_atom_site_fract_x
_atom_site_fract_y
_atom_site_fract_z
Er1 Er 0.010 0.250 0.173
Cu1 Cu 0.008 0.750 0.418
Te1 Te 0.106 0.750 0.614
Te2 Te 0.111 0.250 0.939
Te3 Te 0.142 0.750 0.257
Pb1 Pb 0.216 0.250 0.452
```

Output
magnetization: 0.00 μB per formula unit
DFT total energy: -4.27 eV per atom


A geometry-optimized YHfCuPd structure. Source: the Open Quantum Materials Database, functional PBE-GGA.

CIF file:
```
data_YHfCuPd
_symmetry_space_group_name_H-M 'F -4 3 m'
_symmetry_Int_Tables_number 216
_symmetry_space_group_name_Hall 'F -4 2 3'
_cell_length_a 6.776
_cell_length_b 6.776
_cell_length_c 6.776
_cell_angle_alpha 90.00
_cell_angle_beta 90.00
_cell_angle_gamma 90.00
loop_
_atom_site_label
_atom_site_type_symbol
_atom_site_fract_x
_atom_site_fract_y
_atom_site_fract_z
Y1 Y 0.000 0.000 0.000
Hf1 Hf 0.000 0.000 0.500
Cu1 Cu 0.250 0.250 0.250
Pd1 Pd 0.250 0.250 0.750
```

Output
E_form: -385.4 meV/atom
magnetization: 0.00 μB per formula unit


A geometry-optimized ErSb2Pt8 structure. Source: the Open Quantum Materials Database, functional PBE-GGA.

CIF file:
```
data_ErSb2Pt8
_symmetry_space_group_name_H-M 'C 1 2/m 1'
_symmetry_Int_Tables_number 12
_symmetry_space_group_name_Hall '-C 2y'
_cell_length_a 13.030
_cell_length_b 4.185
_cell_length_c 9.798
_cell_angle_alpha 90.00
_cell_angle_beta 130.25
_cell_angle_gamma 90.00
loop_
_atom_site_label
_atom_site_type_symbol
_atom_site_fract_x
_atom_site_fract_y
_atom_site_fract_z
Er1 Er 0.000 0.000 0.000
Sb1 Sb 0.195 0.000 0.796
Pt1 Pt 0.060 0.000 0.353
Pt2 Pt 0.095 0.500 0.874
Pt3 Pt 0.141 0.500 0.586
Pt4 Pt 0.179 0.500 0.331
```

Output
magnetization: 0.00 μB per formula unit
DFT total energy: -6.00 eV per atom


A geometry-optimized CoReHgB structure. Source: the Open Quantum Materials Database, functional PBE-GGA.

CIF file:
```
data_CoReHgB
_symmetry_space_group_name_H-M 'F -4 3 m'
_symmetry_Int_Tables_number 216
_symmetry_space_group_name_Hall 'F -4 2 3'
_cell_length_a 5.966
_cell_length_b 5.966
_cell_length_c 5.966
_cell_angle_alpha 90.00
_cell_angle_beta 90.00
_cell_angle_gamma 90.00
loop_
_atom_site_label
_atom_site_type_symbol
_atom_site_fract_x
_atom_site_fract_y
_atom_site_fract_z
Co1 Co 0.000 0.000 0.000
Re1 Re 0.000 0.000 0.500
Hg1 Hg 0.250 0.250 0.250
B1 B 0.250 0.250 0.750
```

Output
magnetization: 1.43 μB per formula unit
DFT total energy: -5.40 eV per atom


A geometry-optimized In2CuTeSe3 structure. Source: the Open Quantum Materials Database, functional PBE-GGA.

CIF file:
```
data_In2CuTeSe3
_symmetry_space_group_name_H-M 'P 1'
_symmetry_Int_Tables_number 1
_symmetry_space_group_name_Hall 'P 1'
_cell_length_a 5.795
_cell_length_b 5.835
_cell_length_c 7.033
_cell_angle_alpha 113.05
_cell_angle_beta 111.41
_cell_angle_gamma 90.94
loop_
_atom_site_label
_atom_site_type_symbol
_atom_site_fract_x
_atom_site_fract_y
_atom_site_fract_z
In1 In 0.000 0.000 0.000
In2 In 0.231 0.737 0.485
Cu1 Cu 0.488 0.516 0.003
Te1 Te 0.625 0.169 0.721
Se1 Se 0.111 0.584 0.749
Se2 Se 0.404 0.362 0.249
Se3 Se 0.830 0.876 0.255
```

Output
DFT total energy: -3.61 eV per atom


A geometry-optimized AlCoAgOs structure. Source: the Open Quantum Materials Database, functional PBE-GGA.

CIF file:
```
data_AlCoAgOs
_symmetry_space_group_name_H-M 'F -4 3 m'
_symmetry_Int_Tables_number 216
_symmetry_space_group_name_Hall 'F -4 2 3'
_cell_length_a 6.106
_cell_length_b 6.106
_cell_length_c 6.106
_cell_angle_alpha 90.00
_cell_angle_beta 90.00
_cell_angle_gamma 90.00
loop_
_atom_site_label
_atom_site_type_symbol
_atom_site_fract_x
_atom_site_fract_y
_atom_site_fract_z
Al1 Al 0.000 0.000 0.000
Co1 Co 0.250 0.250 0.250
Ag1 Ag 0.000 0.000 0.500
Os1 Os 0.250 0.250 0.750
```

Output
magnetization: 1.91 μB per formula unit
DFT total energy: -5.89 eV per atom


A geometry-optimized Y4FePN2 structure. Source: the Open Quantum Materials Database, functional PBE-GGA.

CIF file:
```
data_Y4FePN2
_symmetry_space_group_name_H-M 'P -6 m 2'
_symmetry_Int_Tables_number 187
_symmetry_space_group_name_Hall 'P -6 2'
_cell_length_a 3.5593
_cell_length_b 3.5593
_cell_length_c 13.5534
_cell_angle_alpha 90.00
_cell_angle_beta 90.00
_cell_angle_gamma 120.00
loop_
_atom_site_label
_atom_site_type_symbol
_atom_site_fract_x
_atom_site_fract_y
_atom_site_fract_z
Y1 Y 0.0000 0.0000 0.1398
Y2 Y 0.6667 0.3333 0.3421
Fe1 Fe 0.0000 0.0000 0.5000
P1 P 0.6667 0.3333 0.0000
N1 N 0.3333 0.6667 0.2382
```

Output
magnetization: 2.49 μB per formula unit
DFT total energy: -7.96 eV per atom


A geometry-optimized PuMgSb structure. Source: the Open Quantum Materials Database, functional PBE-GGA.

CIF file:
```
data_PuMgSb
_symmetry_space_group_name_H-M 'F -4 3 m'
_symmetry_Int_Tables_number 216
_symmetry_space_group_name_Hall 'F -4 2 3'
_cell_length_a 7.198
_cell_length_b 7.198
_cell_length_c 7.198
_cell_angle_alpha 90.00
_cell_angle_beta 90.00
_cell_angle_gamma 90.00
loop_
_atom_site_label
_atom_site_type_symbol
_atom_site_fract_x
_atom_site_fract_y
_atom_site_fract_z
Pu1 Pu 0.000 0.000 0.000
Mg1 Mg 0.250 0.250 0.750
Sb1 Sb 0.250 0.250 0.250
```

Output
magnetization: 5.60 μB per formula unit
DFT total energy: -6.63 eV per atom


A geometry-optimized PmGdB4 structure. Source: the Open Quantum Materials Database, functional PBE-GGA.

CIF file:
```
data_PmGdB4
_symmetry_space_group_name_H-M 'I m m m'
_symmetry_Int_Tables_number 71
_symmetry_space_group_name_Hall '-I 2 2'
_cell_length_a 3.321
_cell_length_b 5.753
_cell_length_c 7.999
_cell_angle_alpha 90.00
_cell_angle_beta 90.00
_cell_angle_gamma 90.00
loop_
_atom_site_label
_atom_site_type_symbol
_atom_site_fract_x
_atom_site_fract_y
_atom_site_fract_z
Pm1 Pm 0.000 0.000 0.000
Gd1 Gd 0.000 0.000 0.500
B1 B 0.000 0.333 0.249
```

Output
magnetization: 0.00 μB per formula unit
DFT total energy: -6.43 eV per atom


A geometry-optimized ZrAl structure. Source: the Open Quantum Materials Database, functional PBE-GGA.

CIF file:
```
data_ZrAl
_symmetry_space_group_name_H-M 'P m m n'
_symmetry_Int_Tables_number 59
_cell_length_a 4.392
_cell_length_b 13.391
_cell_length_c 5.365
_cell_angle_alpha 90.00
_cell_angle_beta 90.00
_cell_angle_gamma 90.00
loop_
_symmetry_equiv_pos_as_xyz
'x,y,z'
'-x,-y,-z'
'-x+1/2,-y+1/2,z'
'x+1/2,y+1/2,-z'
'x+1/2,-y,-z'
'-x+1/2,y,z'
'-x,y+1/2,-z'
'x,-y+1/2,z'
loop_
_atom_site_label
_atom_site_type_symbol
_atom_site_fract_x
_atom_site_fract_y
_atom_site_fract_z
Zr1 Zr 0.250 0.102 0.125
Zr2 Zr 0.250 0.250 0.671
Zr3 Zr 0.250 0.750 0.754
Al1 Al 0.250 0.011 0.645
Al2 Al 0.250 0.619 0.241
```

Output
magnetization: 0.00 μB per formula unit
DFT total energy: -6.40 eV per atom